<w>
Crystalline FeHgPO2 at its relaxed geometry, computed with PBE+U.

a b c (Å): 4.1365 4.1365 5.1031
angles (deg): 90.00 90.00 90.00
Fractional coordinates of all 5 atoms:
Fe 0.0000 0.0000 0.0000
Hg 0.5000 0.5000 0.5000
P 0.5000 0.5000 0.0000
O 0.0000 0.5000 0.5000
O 0.5000 0.0000 0.5000

The crystal system is tetragonal. The space group is P4/mmm, No. 123.

***

<x>
Crystalline FeHgPO2 at its relaxed geometry, computed with PBE+U.

a b c (Å): 3.7608 3.7608 5.3272
angles (deg): 90.00 90.00 90.00
Fractional coordinates of all 5 atoms:
Fe 0.0000 0.0000 0.0000
Hg 0.5000 0.5000 0.5000
P 0.0000 0.0000 0.5000
O 0.0000 0.5000 0.0000
O 0.5000 0.0000 0.0000

The crystal system is tetragonal. The space group is P4/mmm, No. 123.

***

Which of them is least stable? Easy: <w>.